# 1
The following is a PBE-GGA calculation of a relaxed structure of RbNaGa3, from the Alexandria database.

```
RbNaGa3
1.0
6.0654 0.0000 0.0000
0.0000 6.0654 0.0000
0.0000 0.0000 6.0654
Na Ga Rb
1 3 1
direct
0.5000 0.5000 0.5000
0.0000 0.5000 0.0000
0.0000 0.0000 0.5000
0.5000 0.0000 0.0000
0.0000 0.0000 0.0000
```

## Properties
ΔE to the lowest computed polymorph: 484 meV per atom
formation energy: 441.7 kJ/mol of formula units

***

# 2
The following is a PBE-GGA calculation of a relaxed structure of RbNaGa3, from the Alexandria database.

```
RbNaGa3
1.0
-3.3991 3.0777 -3.0562
-0.2145 -3.9974 -3.7870
-4.3320 -2.2170 2.5856
Na Ga Rb
1 3 1
direct
0.0000 0.0000 0.0000
0.0000 0.5000 0.0000
0.0000 0.0000 0.5000
0.5000 0.0000 0.0000
0.5000 0.5000 0.5000
```

## Properties
ΔE to the lowest computed polymorph: 0 meV per atom
formation energy: 208.3 kJ/mol of formula units

***

# 3
The following is a PBE-GGA calculation of a relaxed structure of RbNa3Ga, from the Alexandria database.

```
RbNa3Ga
1.0
-5.2166 -5.5202 2.4404
6.0670 -8.0894 1.0286
2.4338 -0.7611 9.8389
Rb Na Ga
4 12 4
direct
0.2500 0.9664 0.0336
0.7500 0.0336 0.9664
0.2500 0.3537 0.6463
0.7500 0.6463 0.3537
0.5930 0.6397 0.9713
0.9070 0.0287 0.3603
0.4070 0.3603 0.0287
0.0930 0.9713 0.6397
0.9063 0.3545 0.0078
0.5937 0.9922 0.6455
0.0937 0.6455 0.9922
0.4063 0.0078 0.3545
0.4076 0.6771 0.6707
0.0924 0.3293 0.3229
0.5924 0.3229 0.3293
0.9076 0.6707 0.6771
0.6949 0.4058 0.7515
0.8051 0.2485 0.5942
0.3051 0.5942 0.2485
0.1949 0.7515 0.4058
```

## Properties
ΔE to the lowest computed polymorph: 0 meV per atom
formation energy: 16.0 kJ/mol of formula units